Compound: Pm3Ho7Tl2
Source: Alexandria
Functional: PBE
Structure: optimized geometry

abc: 5.678 3.615 18.411
angles: 90.00 93.33 90.00
Fractional positions:
1 Pm 0.000 0.000 0.000
2 Pm 0.274 0.500 0.634
3 Pm 0.726 0.500 0.366
4 Ho 0.174 0.500 0.149
5 Ho 0.242 0.000 0.459
6 Ho 0.325 0.000 0.832
7 Ho 0.500 0.500 0.000
8 Ho 0.675 0.000 0.168
9 Ho 0.758 0.000 0.541
10 Ho 0.826 0.500 0.851
11 Tl 0.210 0.000 0.291
12 Tl 0.790 0.000 0.709

Calculated values
For the energy of formation from the pure elements, the calculation gives -0.3 eV per formula unit. For the electronic total energy, the calculation gives -4.280 eV per atom. Its density of states at the Fermi level is 13.4 states/eV/cell.